1.
The following is a GGA-PBE calculation of a geometry-optimized NbVRuBr2 structure, from the Alexandria database.

abc: 5.050 5.050 4.967
angles: 90.00 90.00 90.00
Atoms (fractional coordinates):
Nb (0.000, 0.000, 0.000)
V (0.000, 0.000, 0.500)
Ru (0.500, 0.500, 0.500)
Br (0.000, 0.500, 0.000)
Br (0.500, 0.000, 0.000)

spin magnetization = 4.89 Bohr magnetons per cell
formation energy without anion corrections = 1.45 eV/atom
calculated volume = 25.33 A^3/atom
crystal system = tetragonal
symmetry = No. 123

2.
The following is a GGA-PBE calculation of a geometry-optimized CuPtCl6 structure, from the Alexandria database.

abc: 6.400 6.400 6.628
angles: 103.89 103.89 117.67
Atoms (fractional coordinates):
Cu (0.000, 0.000, 0.000)
Pt (0.500, 0.500, 0.500)
Cl (0.102, 0.389, 0.246)
Cl (0.294, 0.294, 0.707)
Cl (0.389, 0.102, 0.246)
Cl (0.611, 0.898, 0.754)
Cl (0.706, 0.706, 0.293)
Cl (0.898, 0.611, 0.754)

spin magnetization = 0.85 Bohr magnetons per cell
formation energy without anion corrections = -0.42 eV/atom
calculated volume = 26.63 A^3/atom
crystal system = monoclinic
symmetry = No. 12

3.
The following is a GGA-PBE calculation of a geometry-optimized Cd3Hg6Bi structure, from the Alexandria database.

abc: 3.737 3.737 21.890
angles: 90.00 90.00 120.00
Atoms (fractional coordinates):
Cd (0.000, 0.000, 0.000)
Cd (0.000, 0.000, 0.294)
Cd (0.000, 0.000, 0.706)
Hg (0.333, 0.667, 0.097)
Hg (0.333, 0.667, 0.389)
Hg (0.333, 0.667, 0.803)
Hg (0.667, 0.333, 0.197)
Hg (0.667, 0.333, 0.611)
Hg (0.667, 0.333, 0.903)
Bi (0.000, 0.000, 0.500)

spin magnetization = 0.00 Bohr magnetons per cell
calculated volume = 26.47 A^3/atom
crystal system = trigonal
symmetry = No. 164

4.
The following is a GGA-PBE calculation of a geometry-optimized PrSm3Pt structure, from the Alexandria database.

abc: 6.477 6.477 13.639
angles: 110.08 110.08 34.82
Atoms (fractional coordinates):
Pr (0.000, 0.000, 0.000)
Pr (0.123, 0.123, 0.298)
Sm (0.011, 0.011, 0.689)
Sm (0.317, 0.317, 0.769)
Sm (0.348, 0.348, 0.154)
Sm (0.659, 0.659, 0.539)
Sm (0.694, 0.694, 0.919)
Sm (0.887, 0.887, 0.400)
Pt (0.352, 0.352, 0.545)
Pt (0.664, 0.664, 0.151)

spin magnetization = 0.00 Bohr magnetons per cell
calculated volume = 30.49 A^3/atom
crystal system = monoclinic
symmetry = No. 8

| no. | calculated density (Mg/m³) | electronic total energy (eV/atom) | DOS(E_F) (states/eV/f.u.) |
| --- | --- | --- | --- |
| 1 | 5.3 | -4.911 | 10.04 |
| 2 | 3.7 | -3.068 | 2.97 |
| 3 | 11.0 | -0.804 | 2.45 |
| 4 | 8.6 | -5.469 | 6.50 |